Here is crystalline LaZrRe2 at its relaxed geometry from Alexandria via LeMat-Bulk. Energies are from PBE.

Cell lengths 4.7663, 4.7663, 4.7663 Å; angles 60.00, 60.00, 60.00 degrees
Sites, in units of the cell vectors:
Re: 0.2500 0.2500 0.2500
Re: 0.0000 0.0000 0.0000
Zr: 0.7500 0.7500 0.7500
La: 0.5000 0.5000 0.5000

Its crystal system is cubic. As for the uncorrected energy: -0.67810 Ry per atom. As for the energy of formation: 0.367 eV/atom. As for the energy relative to the lowest polymorph listed for this composition: 75.0 meV/atom. Its space-group type is F-43m, No. 216. As for the volume: 19.14 A^3/atom.

=====

Here is crystalline LaZr3Re at its relaxed geometry from Alexandria via LeMat-Bulk. Energies are from PBE.

Cell lengths 5.1732, 5.1732, 5.1732 Å; angles 90.00, 90.00, 90.00 degrees
Sites, in units of the cell vectors:
Zr: 0.5000 0.0000 0.0000
Zr: 0.0000 0.0000 0.5000
Re: 0.0000 0.0000 0.0000
La: 0.5000 0.5000 0.5000
Zr: 0.0000 0.5000 0.0000

Its crystal system is cubic. As for the uncorrected energy: -0.61069 Ry per atom. As for the energy of formation: 0.295 eV/atom. As for the energy relative to the lowest polymorph listed for this composition: 0.0 meV/atom. Its space-group type is Pm-3m, No. 221. As for the volume: 27.69 A^3/atom.

=====

Repeat the first record exactly.
Here is crystalline LaZrRe2 at its relaxed geometry from Alexandria via LeMat-Bulk. Energies are from PBE.

Cell lengths 4.7663, 4.7663, 4.7663 Å; angles 60.00, 60.00, 60.00 degrees
Sites, in units of the cell vectors:
Re: 0.2500 0.2500 0.2500
Re: 0.0000 0.0000 0.0000
Zr: 0.7500 0.7500 0.7500
La: 0.5000 0.5000 0.5000

Its crystal system is cubic. As for the uncorrected energy: -0.67810 Ry per atom. As for the energy of formation: 0.367 eV/atom. As for the energy relative to the lowest polymorph listed for this composition: 75.0 meV/atom. Its space-group type is F-43m, No. 216. As for the volume: 19.14 A^3/atom.